[1]
Tb4Dy2HoEr2 | PBE | relaxed

Results
Magnetization in μB/cell: 0.000
DOS(E_F) in states/eV/f.u.: 11.737
Formation enthalpy at 0 K in eV per formula unit: 0.04

a = 9.4300 Å, b = 9.4300 Å, c = 9.4692 Å
α = 115.24°, β = 115.24°, γ = 21.80°
With the nearest neighbours (Å) after each atom.
Atoms (fractional coordinates):
Tb (0.0184, 0.0184, 0.3331)  2 Ho 3.51, 1 Er 3.51, 5 Tb 3.51-3.57, 4 Dy 3.52-3.56
Tb (0.3149, 0.3149, 0.6673)  1 Ho 3.51, 2 Er 3.51, 6 Tb 3.52-3.57, 3 Dy 3.52-3.56
Tb (0.6851, 0.6851, 0.3327)  1 Ho 3.51, 2 Er 3.51, 6 Tb 3.52-3.57, 3 Dy 3.52-3.56
Tb (0.9816, 0.9816, 0.6669)  2 Ho 3.51, 1 Er 3.51, 5 Tb 3.51-3.57, 4 Dy 3.52-3.56
Dy (0.3516, 0.3516, 0.3324)  3 Er 3.50, 7 Tb 3.52-3.56, 2 Dy 3.57
Dy (0.6484, 0.6484, 0.6676)  3 Er 3.50, 7 Tb 3.52-3.56, 2 Dy 3.57
Ho (0.5000, 0.5000, 0.0000)  6 Tb 3.51, 2 Ho 3.57, 4 Er 3.57
Er (0.1669, 0.1669, 0.9997)  3 Dy 3.50, 3 Tb 3.51, 4 Er 3.56-3.57, 2 Ho 3.57
Er (0.8331, 0.8331, 0.0003)  3 Dy 3.50, 3 Tb 3.51, 4 Er 3.56-3.57, 2 Ho 3.57


[2]
Ba2FeTeSe | PBE | relaxed

Results
Magnetization in μB/cell: 2.057
DOS(E_F) in states/eV/f.u.: 4.456
Raw formation energy in eV per atom: -0.84

a = 6.3196 Å, b = 6.3196 Å, c = 4.4840 Å
α = 90.00°, β = 90.00°, γ = 90.00°
With the nearest neighbours (Å) after each atom.
Atoms (fractional coordinates):
Ba (0.0000, 0.5000, 0.0000)  2 Se 3.16
Ba (0.5000, 0.0000, 0.0000)  2 Se 3.16
Fe (0.0000, 0.0000, 0.5000)  2 Se 2.24
Te (0.5000, 0.5000, 0.5000)  8 Ba 3.87
Se (0.0000, 0.0000, 0.0000)  2 Fe 2.24


[3]
CaMn2Au | PBE | relaxed

Results
Magnetization in μB/cell: 0.200
DOS(E_F) in states/eV/f.u.: 4.518
Formation enthalpy at 0 K in eV per formula unit: -0.02

a = 4.3559 Å, b = 4.3559 Å, c = 15.6790 Å
α = 90.00°, β = 90.00°, γ = 120.00°
With the nearest neighbours (Å) after each atom.
Atoms (fractional coordinates):
Ca (0.0000, 0.0000, 0.0000)  4 Mn 3.05-3.32, 4 Au 3.22
Ca (0.3333, 0.6667, 0.6667)  4 Mn 3.05-3.32, 4 Au 3.22
Ca (0.6667, 0.3333, 0.3333)  4 Mn 3.05-3.32, 4 Au 3.22
Mn (0.0000, 0.0000, 0.4821)  3 Mn 2.52, 3 Au 2.67
Mn (0.0000, 0.0000, 0.8052)  3 Mn 2.52, 3 Au 2.72
Mn (0.3333, 0.6667, 0.1488)  3 Mn 2.52, 3 Au 2.67
Mn (0.3333, 0.6667, 0.4719)  3 Mn 2.52, 3 Au 2.72
Mn (0.6667, 0.3333, 0.1385)  3 Mn 2.52, 3 Au 2.72
Mn (0.6667, 0.3333, 0.8155)  3 Mn 2.52, 3 Au 2.67
Au (0.0000, 0.0000, 0.2053)  6 Mn 2.67-2.72
Au (0.3333, 0.6667, 0.8719)  6 Mn 2.67-2.72
Au (0.6667, 0.3333, 0.5386)  6 Mn 2.67-2.72


[4]
AcYZnPt | PBE | relaxed

Results
Magnetization in μB/cell: 0.000
DOS(E_F) in states/eV/f.u.: 3.058
Formation enthalpy at 0 K in eV per formula unit: -2.53

a = 7.4006 Å, b = 7.4006 Å, c = 7.4006 Å
α = 90.00°, β = 90.00°, γ = 90.00°
With the nearest neighbours (Å) after each atom.
Atoms (fractional coordinates):
Ac (0.0000, 0.0000, 0.0000)  4 Pt 3.20, 4 Zn 3.20
Ac (0.0000, 0.5000, 0.5000)  4 Pt 3.20, 4 Zn 3.20
Ac (0.5000, 0.0000, 0.5000)  4 Pt 3.20, 4 Zn 3.20
Ac (0.5000, 0.5000, 0.0000)  4 Pt 3.20, 4 Zn 3.20
Y (0.0000, 0.0000, 0.5000)  4 Pt 3.20, 4 Zn 3.20
Y (0.0000, 0.5000, 0.0000)  4 Pt 3.20, 4 Zn 3.20
Y (0.5000, 0.0000, 0.0000)  4 Pt 3.20, 4 Zn 3.20
Y (0.5000, 0.5000, 0.5000)  4 Pt 3.20, 4 Zn 3.20
Zn (0.2500, 0.2500, 0.7500)  4 Ac 3.20, 4 Y 3.20
Zn (0.2500, 0.7500, 0.2500)  4 Ac 3.20, 4 Y 3.20
Zn (0.7500, 0.2500, 0.2500)  4 Ac 3.20, 4 Y 3.20
Zn (0.7500, 0.7500, 0.7500)  4 Ac 3.20, 4 Y 3.20
Pt (0.2500, 0.2500, 0.2500)  4 Ac 3.20, 4 Y 3.20
Pt (0.2500, 0.7500, 0.7500)  4 Y 3.20, 4 Ac 3.20
Pt (0.7500, 0.2500, 0.7500)  4 Y 3.20, 4 Ac 3.20
Pt (0.7500, 0.7500, 0.2500)  4 Y 3.20, 4 Ac 3.20


[5]
Li8ZnIr2 | PBE | relaxed

Results
Magnetization in μB/cell: 0.000
DOS(E_F) in states/eV/f.u.: 3.339
Formation enthalpy at 0 K in eV per formula unit: 0.92

a = 6.7095 Å, b = 6.7095 Å, c = 4.5409 Å
α = 95.31°, β = 95.31°, γ = 90.84°
With the nearest neighbours (Å) after each atom.
Atoms (fractional coordinates):
Li (0.0888, 0.0888, 0.3099)  2 Li 2.41-2.56, 1 Ir 2.59
Li (0.1028, 0.5999, 0.3064)  1 Ir 2.49, 2 Li 2.71-2.76
Li (0.2391, 0.2391, 0.9190)  1 Li 2.41, 1 Zn 2.44, 2 Ir 2.49-2.62
Li (0.4001, 0.8972, 0.6936)  1 Ir 2.49, 2 Li 2.71-2.76
Li (0.5999, 0.1028, 0.3064)  1 Ir 2.49, 2 Li 2.71-2.76
Li (0.7609, 0.7609, 0.0810)  1 Li 2.41, 1 Zn 2.44, 2 Ir 2.49-2.62
Li (0.8972, 0.4001, 0.6936)  1 Ir 2.49, 2 Li 2.71-2.76
Li (0.9112, 0.9112, 0.6901)  2 Li 2.41-2.56, 1 Ir 2.59
Zn (0.5000, 0.5000, 0.0000)  2 Li 2.44, 4 Ir 2.58-2.63
Ir (0.3635, 0.3635, 0.4692)  5 Li 2.49-2.62, 1 Ir 2.55, 2 Zn 2.58-2.63
Ir (0.6365, 0.6365, 0.5308)  5 Li 2.49-2.62, 1 Ir 2.55, 2 Zn 2.58-2.63


[6]
Cs3HoCl6 | PBE | relaxed

Results
Magnetization in μB/cell: 0.000
Energy above the lowest structure with this stoichiometry in meV per atom: 0
DOS(E_F) in states/eV/f.u.: 0.000
Raw formation energy in eV per atom: -2.17

a = 8.0950 Å, b = 8.5008 Å, c = 14.0432 Å
α = 90.00°, β = 124.72°, γ = 90.00°
With the nearest neighbours (Å) after each atom.
Atoms (fractional coordinates):
Cs (0.0000, 0.0000, 0.0000)  6 Cl 3.42-3.50
Cs (0.0000, 0.5000, 0.5000)  6 Cl 3.42-3.50
Cs (0.2247, 0.0615, 0.7461)  6 Cl 3.50-3.83
Cs (0.2247, 0.4385, 0.2461)  6 Cl 3.50-3.83
Cs (0.7753, 0.5615, 0.7539)  6 Cl 3.50-3.83
Cs (0.7753, 0.9385, 0.2539)  6 Cl 3.50-3.83
Ho (0.5000, 0.0000, 0.5000)  6 Cl 2.64-2.66
Ho (0.5000, 0.5000, 0.0000)  6 Cl 2.64-2.66
Cl (0.1914, 0.1727, 0.4547)  1 Ho 2.64
Cl (0.1914, 0.3273, 0.9547)  1 Ho 2.64
Cl (0.2718, 0.7436, 0.4353)  1 Ho 2.66
Cl (0.2718, 0.7564, 0.9353)  1 Ho 2.66
Cl (0.3906, 0.0447, 0.2851)  1 Ho 2.64
Cl (0.3906, 0.4553, 0.7851)  1 Ho 2.64
Cl (0.6094, 0.5447, 0.2149)  1 Ho 2.64
Cl (0.6094, 0.9553, 0.7149)  1 Ho 2.64
Cl (0.7282, 0.2436, 0.0647)  1 Ho 2.66
Cl (0.7282, 0.2564, 0.5647)  1 Ho 2.66
Cl (0.8086, 0.6727, 0.0453)  1 Ho 2.64
Cl (0.8086, 0.8273, 0.5453)  1 Ho 2.64


[7]
MgTc2Pt | PBE | relaxed

Results
Magnetization in μB/cell: 0.007
DOS(E_F) in states/eV/f.u.: 6.381
Formation enthalpy at 0 K in eV per formula unit: 0.66

a = 2.7870 Å, b = 2.7870 Å, c = 27.7973 Å
α = 90.00°, β = 90.00°, γ = 120.00°
With the nearest neighbours (Å) after each atom.
Atoms (fractional coordinates):
Mg (0.0000, 0.0000, 0.0000)  6 Mg 2.79, 6 Tc 2.88
Mg (0.3333, 0.6667, 0.6667)  6 Mg 2.79, 6 Tc 2.88
Mg (0.6667, 0.3333, 0.3333)  6 Mg 2.79, 6 Tc 2.88
Tc (0.0000, 0.0000, 0.2473)  3 Pt 2.76, 6 Tc 2.79, 3 Mg 2.88
Tc (0.0000, 0.0000, 0.7527)  3 Pt 2.76, 6 Tc 2.79, 3 Mg 2.88
Tc (0.3333, 0.6667, 0.4193)  3 Pt 2.76, 6 Tc 2.79, 3 Mg 2.88
Tc (0.3333, 0.6667, 0.9140)  3 Pt 2.76, 6 Tc 2.79, 3 Mg 2.88
Tc (0.6667, 0.3333, 0.0860)  3 Pt 2.76, 6 Tc 2.79, 3 Mg 2.88
Tc (0.6667, 0.3333, 0.5807)  3 Pt 2.76, 6 Tc 2.79, 3 Mg 2.88
Pt (0.0000, 0.0000, 0.5000)  6 Tc 2.76, 6 Pt 2.79
Pt (0.3333, 0.6667, 0.1667)  6 Tc 2.76, 6 Pt 2.79
Pt (0.6667, 0.3333, 0.8333)  6 Tc 2.76, 6 Pt 2.79


[8]
CePmAsCl | PBE | relaxed

Results
Magnetization in μB/cell: 7.056
DOS(E_F) in states/eV/f.u.: 6.214
Raw formation energy in eV per atom: -1.29

a = 7.2154 Å, b = 7.2154 Å, c = 7.2154 Å
α = 90.00°, β = 90.00°, γ = 90.00°
With the nearest neighbours (Å) after each atom.
Atoms (fractional coordinates):
Ce (0.0000, 0.0000, 0.0000)  4 Cl 3.12, 4 As 3.12
Ce (0.0000, 0.5000, 0.5000)  4 Cl 3.12, 4 As 3.12
Ce (0.5000, 0.0000, 0.5000)  4 Cl 3.12, 4 As 3.12
Ce (0.5000, 0.5000, 0.0000)  4 Cl 3.12, 4 As 3.12
Pm (0.0000, 0.0000, 0.5000)  4 As 3.12, 4 Cl 3.12
Pm (0.0000, 0.5000, 0.0000)  4 As 3.12, 4 Cl 3.12
Pm (0.5000, 0.0000, 0.0000)  4 As 3.12, 4 Cl 3.12
Pm (0.5000, 0.5000, 0.5000)  4 As 3.12, 4 Cl 3.12
As (0.2500, 0.2500, 0.7500)  4 Ce 3.12, 4 Pm 3.12
As (0.2500, 0.7500, 0.2500)  4 Ce 3.12, 4 Pm 3.12
As (0.7500, 0.2500, 0.2500)  4 Ce 3.12, 4 Pm 3.12
As (0.7500, 0.7500, 0.7500)  4 Ce 3.12, 4 Pm 3.12
Cl (0.2500, 0.2500, 0.2500)  4 Pm 3.12, 4 Ce 3.12
Cl (0.2500, 0.7500, 0.7500)  4 Ce 3.12, 4 Pm 3.12
Cl (0.7500, 0.2500, 0.7500)  4 Ce 3.12, 4 Pm 3.12
Cl (0.7500, 0.7500, 0.2500)  4 Ce 3.12, 4 Pm 3.12


Please write out number 3 again, unchanged.
CaMn2Au | PBE | relaxed

Results
Magnetization in μB/cell: 0.200
DOS(E_F) in states/eV/f.u.: 4.518
Formation enthalpy at 0 K in eV per formula unit: -0.02

a = 4.3559 Å, b = 4.3559 Å, c = 15.6790 Å
α = 90.00°, β = 90.00°, γ = 120.00°
With the nearest neighbours (Å) after each atom.
Atoms (fractional coordinates):
Ca (0.0000, 0.0000, 0.0000)  4 Mn 3.05-3.32, 4 Au 3.22
Ca (0.3333, 0.6667, 0.6667)  4 Mn 3.05-3.32, 4 Au 3.22
Ca (0.6667, 0.3333, 0.3333)  4 Mn 3.05-3.32, 4 Au 3.22
Mn (0.0000, 0.0000, 0.4821)  3 Mn 2.52, 3 Au 2.67
Mn (0.0000, 0.0000, 0.8052)  3 Mn 2.52, 3 Au 2.72
Mn (0.3333, 0.6667, 0.1488)  3 Mn 2.52, 3 Au 2.67
Mn (0.3333, 0.6667, 0.4719)  3 Mn 2.52, 3 Au 2.72
Mn (0.6667, 0.3333, 0.1385)  3 Mn 2.52, 3 Au 2.72
Mn (0.6667, 0.3333, 0.8155)  3 Mn 2.52, 3 Au 2.67
Au (0.0000, 0.0000, 0.2053)  6 Mn 2.67-2.72
Au (0.3333, 0.6667, 0.8719)  6 Mn 2.67-2.72
Au (0.6667, 0.3333, 0.5386)  6 Mn 2.67-2.72


Q: Among the records above, which one has the highest DOS(E_F)?
A: Tb4Dy2HoEr2